Entry 1:
Computed, not measured: a relaxed structure of Ac2UNiRh4 at the GGA-PBE level of DFT.

Geometry as POSCAR:
```
Ac2UNiRh4
1.0
0.000 7.083 9.202
2.714 0.000 9.202
2.714 7.083 0.000
Ac U Ni Rh
4 2 2 8
Direct
0.041 0.041 0.709
0.291 0.291 0.959
0.709 0.709 0.041
0.959 0.959 0.291
0.375 0.375 0.375
0.625 0.625 0.625
0.125 0.125 0.125
0.875 0.875 0.875
0.061 0.303 0.453
0.303 0.061 0.682
0.318 0.547 0.697
0.453 0.682 0.061
0.547 0.318 0.939
0.682 0.453 0.303
0.697 0.939 0.318
0.939 0.697 0.547
```

* raw total energy: -116.96 eV per cell
* ΔE_f: -473 meV/atom
* size of the total moment: 0.00 μB/cell
* crystal system: orthorhombic

---

Entry 2:
Computed, not measured: a relaxed structure of AcYNiRh at the GGA-PBE level of DFT.

Geometry as POSCAR:
```
AcYNiRh
1.0
0.000 3.567 3.567
3.567 0.000 3.567
3.567 3.567 0.000
Ac Y Ni Rh
1 1 1 1
Direct
0.000 0.000 0.000
0.500 0.500 0.500
0.750 0.750 0.750
0.250 0.250 0.250
```

* raw total energy: -25.37 eV per cell
* ΔE_f: -417 meV/atom
* size of the total moment: 0.00 μB/cell
* crystal system: cubic

---

Entry 3:
Computed, not measured: a relaxed structure of Ac2Zn4Ni3Rh at the GGA-PBE level of DFT.

Geometry as POSCAR:
```
Ac2Zn4Ni3Rh
1.0
4.348 0.000 0.000
0.000 4.348 0.000
0.000 0.000 9.983
Ac Zn Ni Rh
2 4 3 1
Direct
0.000 0.500 0.240
0.500 0.000 0.760
0.000 0.000 0.500
0.000 0.500 0.872
0.500 0.000 0.128
0.500 0.500 0.500
0.000 0.000 0.000
0.000 0.500 0.624
0.500 0.000 0.376
0.500 0.500 0.000
```

* raw total energy: -41.41 eV per cell
* ΔE_f: -340 meV/atom
* size of the total moment: 0.00 μB/cell
* crystal system: tetragonal

---

Entry 4:
Computed, not measured: a relaxed structure of Ac2Zn6NiRh at the GGA-PBE level of DFT.

Geometry as POSCAR:
```
Ac2Zn6NiRh
1.0
-3.366 3.373 4.760
3.366 -3.373 4.760
3.366 3.373 -4.760
Ac Zn Ni Rh
2 6 1 1
Direct
0.250 0.250 0.000
0.750 0.750 0.000
0.256 0.243 0.500
0.256 0.756 0.500
0.256 0.757 0.013
0.744 0.243 0.987
0.744 0.244 0.500
0.744 0.757 0.500
0.500 0.000 0.500
0.000 0.500 0.500
```

* raw total energy: -31.87 eV per cell
* ΔE_f: -287 meV/atom
* size of the total moment: 0.00 μB/cell
* crystal system: orthorhombic

---

Entry 5:
Computed, not measured: a relaxed structure of Ac12Ni5Ru at the GGA-PBE level of DFT.

Geometry as POSCAR:
```
Ac12Ni5Ru
1.0
3.710 -6.428 0.000
3.710 6.428 0.000
-2.438 0.000 13.673
Ac Ni Ru
12 5 1
Direct
0.038 0.369 0.116
0.129 0.129 0.382
0.205 0.538 0.618
0.293 0.293 0.884
0.369 0.038 0.116
0.462 0.795 0.382
0.538 0.205 0.618
0.631 0.962 0.884
0.707 0.707 0.116
0.795 0.462 0.382
0.871 0.871 0.618
0.962 0.631 0.884
0.167 0.833 0.500
0.333 0.667 0.000
0.500 0.500 0.500
0.667 0.333 0.000
0.833 0.167 0.500
0.000 0.000 0.000
```

* raw total energy: -90.50 eV per cell
* ΔE_f: -167 meV/atom
* size of the total moment: 0.00 μB/cell
* crystal system: monoclinic

---

Entry 6:
Computed, not measured: a relaxed structure of Ac8NiRu2 at the GGA-PBE level of DFT.

Geometry as POSCAR:
```
Ac8NiRu2
1.0
7.798 -3.849 0.000
7.798 3.849 0.000
-1.688 0.000 6.698
Ac Ni Ru
8 1 2
Direct
0.080 0.080 0.308
0.130 0.617 0.145
0.325 0.325 0.635
0.383 0.870 0.855
0.617 0.130 0.145
0.675 0.675 0.365
0.870 0.383 0.855
0.920 0.920 0.692
0.500 0.500 0.000
0.236 0.236 0.194
0.764 0.764 0.806
```

* raw total energy: -57.81 eV per cell
* ΔE_f: -56 meV/atom
* size of the total moment: 0.00 μB/cell
* offset from the most stable computed form: 23.7 meV per atom
* crystal system: monoclinic